This record from Alexandria via LeMat-Bulk describes a geometry-optimized ErSBrO4 structure. The functional is PBE.

Cell lengths 6.031, 6.031, 6.459 Å; angles 78.86, 78.86, 69.54 degrees
Sites, in units of the cell vectors:
O1 0.514 0.855 0.850
O2 0.705 0.705 0.510
O3 0.515 0.515 0.232
O4 0.295 0.295 0.490
O5 0.145 0.486 0.150
O6 0.486 0.145 0.150
O7 0.855 0.514 0.850
O8 0.485 0.485 0.768
Br1 0.022 0.022 0.245
Br2 0.978 0.978 0.755
Er1 0.765 0.765 0.140
Er2 0.235 0.235 0.860
S1 0.365 0.365 0.264
S2 0.635 0.635 0.736

As for the space group: C2/m. The raw formation energy comes out at -2032.0 meV per atom.

---

This record from Alexandria via LeMat-Bulk describes a geometry-optimized TaTi12Ga6 structure. The functional is PBE.

Cell lengths 6.824, 6.824, 6.824 Å; angles 90.13, 90.13, 90.13 degrees
Sites, in units of the cell vectors:
Ga1 0.737 0.278 0.124
Ga2 0.876 0.263 0.722
Ga3 0.124 0.737 0.278
Ga4 0.263 0.722 0.876
Ga5 0.722 0.876 0.263
Ga6 0.278 0.124 0.737
Ta1 0.000 0.000 0.000
Ti1 0.197 0.477 0.558
Ti2 0.052 0.148 0.376
Ti3 0.523 0.442 0.803
Ti4 0.803 0.523 0.442
Ti5 0.148 0.376 0.052
Ti6 0.948 0.852 0.624
Ti7 0.558 0.197 0.477
Ti8 0.477 0.558 0.197
Ti9 0.852 0.624 0.948
Ti10 0.442 0.803 0.523
Ti11 0.624 0.948 0.852
Ti12 0.376 0.052 0.148

As for the space group: R-3. The calculation puts the formation energy at -19.9 kJ/mol of atoms.

---

This record from Alexandria via LeMat-Bulk describes a geometry-optimized ScAlP structure. The functional is PBE.

Cell lengths 3.668, 3.668, 5.040 Å; angles 90.00, 90.00, 120.00 degrees
Sites, in units of the cell vectors:
P1 0.667 0.333 0.313
Al1 0.000 0.000 0.070
Sc1 0.333 0.667 0.617

As for the space group: P3m1. The calculation puts the formation energy at -50.0 kJ/mol of atoms.

---

This record from Alexandria via LeMat-Bulk describes a geometry-optimized SmY3Tm4 structure. The functional is PBE.

Cell lengths 3.447, 6.627, 11.858 Å; angles 106.28, 98.36, 90.00 degrees
Sites, in units of the cell vectors:
Tm1 0.126 0.368 0.252
Tm2 0.739 0.245 0.479
Tm3 0.261 0.755 0.521
Tm4 0.874 0.632 0.748
Y1 0.000 0.500 0.000
Y2 0.127 0.880 0.254
Y3 0.873 0.120 0.746
Sm1 0.500 0.000 0.000

As for the space group: C2/m. The calculation puts the formation energy at 17.0 kJ/mol of atoms. As for the energy above the most stable polymorph in this dataset: 173 meV per atom.

---

This record from Alexandria via LeMat-Bulk describes a geometry-optimized SrZrPb2 structure. The functional is PBE.

Cell lengths 3.511, 3.511, 9.182 Å; angles 90.00, 90.00, 95.58 degrees
Sites, in units of the cell vectors:
Pb1 0.000 0.000 0.524
Pb2 0.000 0.000 0.976
Sr1 0.500 0.500 0.250
Zr1 0.500 0.500 0.750

As for the space group: Cmmm. The calculation puts the formation energy at -25.5 kJ/mol of atoms.

---

This record from Alexandria via LeMat-Bulk describes a geometry-optimized LaPuGa2Rh2 structure. The functional is PBE.

Cell lengths 4.464, 4.464, 7.209 Å; angles 90.00, 90.00, 120.00 degrees
Last column: magnetic moment on the atom in μB.
Sites, in units of the cell vectors:
Ga1 0.667 0.333 0.729  0.03
Ga2 0.333 0.667 0.271  0.03
La1 0.000 0.000 0.000  0.05
Rh1 0.333 0.667 0.690  -0.10
Rh2 0.667 0.333 0.310  -0.10
Pu1 0.000 0.000 0.500  4.98

As for the space group: P-3m1. The calculation puts the formation energy at -66.2 kJ/mol of atoms.

---

This record from Alexandria via LeMat-Bulk describes a geometry-optimized HoTaIr2 structure. The functional is PBE.

Cell lengths 4.436, 4.436, 5.208 Å; angles 64.80, 64.80, 60.00 degrees
Sites, in units of the cell vectors:
Ir1 0.221 0.221 0.336
Ir2 0.779 0.779 0.664
Ta1 0.500 0.500 0.500
Ho1 0.000 0.000 0.000

As for the space group: R-3m. The calculation puts the formation energy at -52.6 kJ/mol of atoms. As for the energy above the most stable polymorph in this dataset: 103 meV per atom.

---

This record from Alexandria via LeMat-Bulk describes a geometry-optimized Na2Li5CdAg2 structure. The functional is PBE.

Cell lengths 3.665, 10.762, 10.762 Å; angles 90.00, 90.00, 90.00 degrees
Sites, in units of the cell vectors:
Li1 0.500 0.302 0.561
Li2 0.500 0.500 0.000
Li3 0.500 0.000 0.500
Li4 0.500 0.698 0.439
Li5 0.500 0.198 0.061
Li6 0.500 0.561 0.698
Li7 0.500 0.061 0.802
Li8 0.500 0.439 0.302
Li9 0.500 0.939 0.198
Li10 0.500 0.802 0.939
Ag1 0.000 0.627 0.873
Ag2 0.000 0.873 0.373
Ag3 0.000 0.127 0.627
Ag4 0.000 0.373 0.127
Na1 0.000 0.826 0.674
Na2 0.000 0.674 0.174
Na3 0.000 0.326 0.826
Na4 0.000 0.174 0.326
Cd1 0.000 0.000 0.000
Cd2 0.000 0.500 0.500

As for the space group: P4/mbm. The calculation puts the formation energy at -9.0 kJ/mol of atoms.

---

Calculated VASP energy in order - -0.4664, -0.4978, -0.4175, -0.3729, -0.3437, -0.5406, -0.6676, -0.1452 Ry per atom